VASP calculation (GGA+U) on a relaxed TeMoI2O crystal.

Results
SG = P4/mmm
Electronic total energy = -3.44 eV per atom
Total moment = 5.0 μB per formula unit

a b c (Å): 6.2268 6.2268 4.0814
angles (deg): 90.00 90.00 90.00
Last column: magnetic moment on the atom in μB.
Atoms (fractional coordinates):
I (0.5000, 0.0000, 0.0000)  0.00
I (0.0000, 0.5000, 0.0000)  0.00
Te (0.0000, 0.0000, 0.0000)  0.00
O (0.0000, 0.0000, 0.5000)  0.01
Mo (0.5000, 0.5000, 0.5000)  4.25